The following is a DFT calculation (PBE) of crystalline Li3Ag5Ge2 at its relaxed geometry.

a b c (Å): 10.3976 13.3758 5.3507
angles (deg): 90.00 90.00 90.00
Last column: nearest neighbours and their distance in Å.
Space group Ibam (No. 72)
Unique sites:
Li 0.0000 0.0000 0.2500 x4  2 Ag 2.48, 4 Ge 2.62, 2 Li 2.68
Li 0.0971 0.3158 0.0000 x8  6 Ag 2.86-3.02, 1 Ge 2.94
Ag 0.0000 0.5000 0.2500 x4  4 Ag 2.68-2.72, 4 Li 2.98
Ag 0.1936 0.3233 0.5000 x8  1 Ge 2.51, 2 Ag 2.81
Ag 0.2387 0.0000 0.2500 x8  1 Li 2.48, 3 Ag 2.68-2.72
Ge 0.0927 0.1526 0.5000 x8  1 Ag 2.51, 2 Li 2.62

Calculated values
As for the energy of formation from the pure elements: 0.0046 eV per atom. The total energy comes out at -2.919 eV/atom.

The following is a DFT calculation (PBE) of crystalline SrIn8Cu2 at its relaxed geometry.

a b c (Å): 6.2869 6.2869 8.7458
angles (deg): 90.00 90.00 90.00
Last column: nearest neighbours and their distance in Å.
Space group P4/mmm (No. 123)
Unique sites:
Sr 0.0000 0.0000 0.0000 x1  8 In 3.52
In 0.2522 0.2522 0.3106 x8  2 Cu 2.77
Cu 0.0000 0.5000 0.5000 x2  8 In 2.77

Calculated values
As for the energy of formation from the pure elements: 0.0676 eV per atom. The total energy comes out at -2.822 eV/atom.

Question: What is the formula in the first record?
Answer: Li3Ag5Ge2

Question: total energy of number 2 (SrIn8Cu2)?
Answer: -2.822 eV/atom

Question: What is the formula in the first record?
Answer: Li3Ag5Ge2

Question: The lowest total energy belongs to which entry?
Answer: Li3Ag5Ge2